[1]
Computed, not measured: a relaxed CsLa2TiNb crystal at the PBE-GGA level of DFT.

Properties
ΔE_f   1.482 eV per atom
SG   No. 123
V   186.0 Å³/f.u.
Total DFT energy (no corrections)   -21.26 eV for the cell shown

```
data_CsLa2TiNb
_cell_length_a 5.552
_cell_length_b 5.552
_cell_length_c 6.034
_cell_angle_alpha 90.00
_cell_angle_beta 90.00
_cell_angle_gamma 90.00
_space_group_name_H-M_alt 'P 1'
_space_group_IT_number 1
loop_
_space_group_symop_operation_xyz
'x,y,z'
loop_
_atom_site_label
_atom_site_type_symbol
_atom_site_fract_x
_atom_site_fract_y
_atom_site_fract_z
Cs1 Cs 0.000 0.000 0.000
La1 La 0.000 0.500 0.500
La2 La 0.500 0.000 0.500
Ti1 Ti 0.000 0.000 0.500
Nb1 Nb 0.500 0.500 0.000
```

***

[2]
Computed, not measured: a relaxed KTl2Bi2 crystal at the PBE-GGA level of DFT.

Properties
ΔE_f   -0.153 eV per atom
SG   No. 139
V   193.9 Å³/f.u.
Total DFT energy (no corrections)   -14.36 eV for the cell shown
Energy relative to the lowest polymorph listed for this composition   0.0 meV per atom

```
data_KTl2Bi2
_cell_length_a 7.804
_cell_length_b 7.804
_cell_length_c 7.804
_cell_angle_alpha 140.10
_cell_angle_beta 140.10
_cell_angle_gamma 57.69
_space_group_name_H-M_alt 'P 1'
_space_group_IT_number 1
loop_
_space_group_symop_operation_xyz
'x,y,z'
loop_
_atom_site_label
_atom_site_type_symbol
_atom_site_fract_x
_atom_site_fract_y
_atom_site_fract_z
K1 K 0.000 0.000 0.000
Tl1 Tl 0.250 0.750 0.500
Tl2 Tl 0.750 0.250 0.500
Bi1 Bi 0.384 0.384 0.000
Bi2 Bi 0.616 0.616 0.000
```

***

[3]
Computed, not measured: a relaxed BeW2I crystal at the PBE-GGA level of DFT.

Properties
SG   No. 225
V   63.2 Å³/f.u.
Total DFT energy (no corrections)   -26.19 eV for the cell shown
Formation energy (no corrections)   1.249 eV per atom
Energy relative to the lowest polymorph listed for this composition   39.6 meV per atom

```
data_BeW2I
_cell_length_a 4.471
_cell_length_b 4.471
_cell_length_c 4.471
_cell_angle_alpha 60.00
_cell_angle_beta 60.00
_cell_angle_gamma 60.00
_space_group_name_H-M_alt 'P 1'
_space_group_IT_number 1
loop_
_space_group_symop_operation_xyz
'x,y,z'
loop_
_atom_site_label
_atom_site_type_symbol
_atom_site_fract_x
_atom_site_fract_y
_atom_site_fract_z
Be1 Be 0.000 0.000 0.000
W1 W 0.250 0.250 0.250
W2 W 0.750 0.750 0.750
I1 I 0.500 0.500 0.500
```

***

Please write out number 2 again, unchanged.
Computed, not measured: a relaxed KTl2Bi2 crystal at the PBE-GGA level of DFT.

Properties
ΔE_f   -0.153 eV per atom
SG   No. 139
V   193.9 Å³/f.u.
Total DFT energy (no corrections)   -14.36 eV for the cell shown
Energy relative to the lowest polymorph listed for this composition   0.0 meV per atom

```
data_KTl2Bi2
_cell_length_a 7.804
_cell_length_b 7.804
_cell_length_c 7.804
_cell_angle_alpha 140.10
_cell_angle_beta 140.10
_cell_angle_gamma 57.69
_space_group_name_H-M_alt 'P 1'
_space_group_IT_number 1
loop_
_space_group_symop_operation_xyz
'x,y,z'
loop_
_atom_site_label
_atom_site_type_symbol
_atom_site_fract_x
_atom_site_fract_y
_atom_site_fract_z
K1 K 0.000 0.000 0.000
Tl1 Tl 0.250 0.750 0.500
Tl2 Tl 0.750 0.250 0.500
Bi1 Bi 0.384 0.384 0.000
Bi2 Bi 0.616 0.616 0.000
```